Record 1
La2Tb7Er2 after structural relaxation, computed with PBE.

CIF file:
```
data_La2Tb7Er2
_chemical_formula_sum 'La4 Tb14 Er4'
_cell_length_a 12.7496
_cell_length_b 6.7709
_cell_length_c 9.0220
_cell_angle_alpha 90.00
_cell_angle_beta 111.92
_cell_angle_gamma 90.00
_symmetry_space_group_name_H-M 'C 1 2/m 1'
_symmetry_Int_Tables_number 12
_symmetry_space_group_name_Hall '-C 2y'
loop_
_atom_site_label
_atom_site_fract_x
_atom_site_fract_y
_atom_site_fract_z
La1 0.1952 0.0000 0.3853
Tb1 0.0000 0.0000 0.5000
Tb2 0.0606 0.5000 0.3568
Tb3 0.1953 0.2414 0.8019
Er1 0.0000 0.2462 0.0000
```

Output
- Relative energy among the computed polymorphs: 0 kJ/mol of formula units

---

Record 2
La5Tb6Er2 after structural relaxation, computed with PBE.

CIF file:
```
data_La5Tb6Er2
_chemical_formula_sum 'La10 Tb12 Er4'
_cell_length_a 11.4968
_cell_length_b 21.3483
_cell_length_c 3.6372
_cell_angle_alpha 90.00
_cell_angle_beta 90.00
_cell_angle_gamma 90.00
_symmetry_space_group_name_H-M 'P b a m'
_symmetry_Int_Tables_number 55
_symmetry_space_group_name_Hall '-P 2 2ab'
loop_
_atom_site_label
_atom_site_fract_x
_atom_site_fract_y
_atom_site_fract_z
La1 0.0000 0.0000 0.0000
La2 0.1029 0.2630 0.0000
La3 0.1721 0.5463 0.0000
Tb1 0.0900 0.4053 0.5000
Tb2 0.1046 0.1249 0.5000
Tb3 0.1504 0.8512 0.0000
Er1 0.1476 0.7048 0.5000
```

Output
- VASP energy: -4.64 eV/atom

---

Record 3
La2Tb7Er after structural relaxation, computed with PBE.

CIF file:
```
data_La2Tb7Er
_chemical_formula_sum 'La4 Tb14 Er2'
_cell_length_a 6.6032
_cell_length_b 29.0401
_cell_length_c 3.5082
_cell_angle_alpha 90.00
_cell_angle_beta 90.00
_cell_angle_gamma 90.00
_symmetry_space_group_name_H-M 'C m m m'
_symmetry_Int_Tables_number 65
_symmetry_space_group_name_Hall '-C 2 2'
loop_
_atom_site_label
_atom_site_fract_x
_atom_site_fract_y
_atom_site_fract_z
La1 0.0000 0.2055 0.0000
Tb1 0.0000 0.0000 0.0000
Tb2 0.0000 0.3159 0.5000
Tb3 0.2443 0.4033 0.0000
Er1 0.0000 0.5000 0.5000
```

Output
- Relative energy among the computed polymorphs: 128 kJ/mol of formula units

---

Record 4
LaTb2Er6 after structural relaxation, computed with PBE.

CIF file:
```
data_LaTb2Er6
_chemical_formula_sum 'La2 Tb4 Er12'
_cell_length_a 10.6338
_cell_length_b 10.6338
_cell_length_c 5.0293
_cell_angle_alpha 90.00
_cell_angle_beta 90.00
_cell_angle_gamma 90.00
_symmetry_space_group_name_H-M 'P 42/m n m'
_symmetry_Int_Tables_number 136
_symmetry_space_group_name_Hall '-P 4n 2n'
loop_
_atom_site_label
_atom_site_fract_x
_atom_site_fract_y
_atom_site_fract_z
La1 0.0000 0.0000 0.0000
Tb1 0.1690 0.1690 0.5000
Er1 0.0006 0.3356 0.0000
Er2 0.1689 0.8311 0.5000
```

Output
- Relative energy among the computed polymorphs: 0 kJ/mol of formula units

---

Record 5
La5Tb6Er after structural relaxation, computed with PBE.

CIF file:
```
data_La5Tb6Er
_chemical_formula_sum 'La5 Tb6 Er1'
_cell_length_a 6.2460
_cell_length_b 7.3254
_cell_length_c 9.6340
_cell_angle_alpha 112.31
_cell_angle_beta 91.11
_cell_angle_gamma 90.05
_symmetry_space_group_name_H-M 'P -1'
_symmetry_Int_Tables_number 2
_symmetry_space_group_name_Hall '-P 1'
loop_
_atom_site_label
_atom_site_fract_x
_atom_site_fract_y
_atom_site_fract_z
La1 0.0000 0.0000 0.0000
La2 0.3299 0.3356 0.6709
La3 0.3348 0.8332 0.6663
Tb1 0.1677 0.4165 0.3312
Tb2 0.1678 0.9146 0.3311
Tb3 0.5001 0.2517 0.0000
Er1 0.0000 0.5000 0.0000
```

Output
- VASP energy: -4.72 eV/atom

---

Record 6
LaTb8Er5 after structural relaxation, computed with PBE.

CIF file:
```
data_LaTb8Er5
_chemical_formula_sum 'La2 Tb16 Er10'
_cell_length_a 9.4543
_cell_length_b 9.4543
_cell_length_c 10.3119
_cell_angle_alpha 90.00
_cell_angle_beta 90.00
_cell_angle_gamma 90.00
_symmetry_space_group_name_H-M 'I -4'
_symmetry_Int_Tables_number 82
_symmetry_space_group_name_Hall 'I -4'
loop_
_atom_site_label
_atom_site_fract_x
_atom_site_fract_y
_atom_site_fract_z
La1 0.0000 0.0000 0.0000
Tb1 0.0717 0.1777 0.3561
Tb2 0.0868 0.3273 0.0021
Er1 0.0000 0.5000 0.2500
Er2 0.1142 0.2915 0.6786
```

Output
- VASP energy: -4.39 eV/atom

---

Record 7
La2TbEr6 after structural relaxation, computed with PBE.

CIF file:
```
data_La2TbEr6
_chemical_formula_sum 'La8 Tb4 Er24'
_cell_length_a 12.8398
_cell_length_b 14.2366
_cell_length_c 6.5621
_cell_angle_alpha 90.00
_cell_angle_beta 102.83
_cell_angle_gamma 90.00
_symmetry_space_group_name_H-M 'C 1 2/c 1'
_symmetry_Int_Tables_number 15
_symmetry_space_group_name_Hall '-C 2yc'
loop_
_atom_site_label
_atom_site_fract_x
_atom_site_fract_y
_atom_site_fract_z
La1 0.1428 0.0287 0.3782
Tb1 0.0000 0.3836 0.2500
Er1 0.0341 0.1915 0.0010
Er2 0.1311 0.4103 0.8127
Er3 0.2421 0.2019 0.7354
```

Output
- VASP energy: -4.54 eV/atom

---

Record 8
La12Tb3Er after structural relaxation, computed with PBE.

CIF file:
```
data_La12Tb3Er
_chemical_formula_sum 'La12 Tb3 Er1'
_cell_length_a 5.2090
_cell_length_b 5.2090
_cell_length_c 20.8176
_cell_angle_alpha 90.00
_cell_angle_beta 90.00
_cell_angle_gamma 90.00
_symmetry_space_group_name_H-M 'P 4/m m m'
_symmetry_Int_Tables_number 123
_symmetry_space_group_name_Hall '-P 4 2'
loop_
_atom_site_label
_atom_site_fract_x
_atom_site_fract_y
_atom_site_fract_z
La1 0.0000 0.0000 0.0000
La2 0.0000 0.0000 0.2493
La3 0.0000 0.0000 0.5000
La4 0.0000 0.5000 0.1243
La5 0.0000 0.5000 0.3745
Tb1 0.5000 0.5000 0.2492
Tb2 0.5000 0.5000 0.5000
Er1 0.5000 0.5000 0.0000
```

Output
- VASP energy: -4.84 eV/atom